(1)
Here is a geometry-optimized ReHg2As structure from Alexandria via LeMat-Bulk. Energies are from PBE.

Output
ΔH_f (0 K) = 0.86 eV/atom
E_tot = -3.569 eV per atom

Cell lengths 3.0272, 5.6339, 4.6460 Å; angles 90.00, 95.44, 90.00 degrees
Positions (direct):
1 Re 0.0000 0.0000 0.0000
2 Hg 0.2468 0.5000 0.2494
3 Hg 0.7532 0.5000 0.7506
4 As 0.5000 0.0000 0.5000


(2)
Here is a geometry-optimized CaAg2As structure from Alexandria via LeMat-Bulk. Energies are from PBE.

Output
ΔH_f (0 K) = -0.27 eV/atom
E_tot = -3.362 eV per atom

Cell lengths 5.5578, 5.5578, 5.0361 Å; angles 93.13, 93.13, 32.71 degrees
Positions (direct):
1 Ca 0.0000 0.0000 0.0000
2 Ag 0.2569 0.2569 0.7527
3 Ag 0.7431 0.7431 0.2473
4 As 0.5000 0.5000 0.5000


(3)
Here is a geometry-optimized InPd2Pt4 structure from Alexandria via LeMat-Bulk. Energies are from PBE.

Output
ΔH_f (0 K) = -0.07 eV/atom
E_tot = -5.397 eV per atom

Cell lengths 5.4329, 5.4329, 5.4329 Å; angles 104.34, 104.34, 120.31 degrees
Positions (direct):
1 In 0.0000 0.0000 0.0000
2 Pd 0.2500 0.7500 0.5000
3 Pd 0.7500 0.2500 0.5000
4 Pt 0.2868 0.2868 0.5735
5 Pt 0.2868 0.7132 0.0000
6 Pt 0.7132 0.2868 0.0000
7 Pt 0.7132 0.7132 0.4265


> The lowest ΔH_f (0 K) belongs to which entry?

CaAg2As


> ΔH_f (0 K) of number 3 (InPd2Pt4)?

-0.07 eV/atom


Copy entry 1 word for word.
Here is a geometry-optimized ReHg2As structure from Alexandria via LeMat-Bulk. Energies are from PBE.

Output
ΔH_f (0 K) = 0.86 eV/atom
E_tot = -3.569 eV per atom

Cell lengths 3.0272, 5.6339, 4.6460 Å; angles 90.00, 95.44, 90.00 degrees
Positions (direct):
1 Re 0.0000 0.0000 0.0000
2 Hg 0.2468 0.5000 0.2494
3 Hg 0.7532 0.5000 0.7506
4 As 0.5000 0.0000 0.5000